Sm3Si2SbPt9 | PBE | optimized geometry

Cell: 6.443 6.443 9.165 Å, 90.00 90.00 120.00°
Sites, in units of the cell vectors:
Pt1 0.290 0.145 0.730
Pt2 0.145 0.855 0.270
Pt3 0.500 0.500 0.000
Pt4 0.500 0.000 0.000
Pt5 0.000 0.500 0.000
Pt6 0.855 0.710 0.730
Pt7 0.710 0.855 0.270
Si1 0.333 0.667 0.175
Sm1 0.333 0.667 0.732
Sm2 0.000 0.000 0.000
Pt8 0.855 0.145 0.730
Pt9 0.145 0.290 0.270
Sm3 0.667 0.333 0.268
Si2 0.667 0.333 0.825
Sb1 0.000 0.000 0.500

Output
VASP energy, eV per atom: -6.28
Formation energy without anion corrections, eV per atom: -0.715
M_tot, μB per formula unit: 0.00